[1]
Nd7Zn2Cd2: optimized geometry, GGA-PBE.

extended XYZ file:
```
11
Lattice="6.763 -0.003 -1.049 0.004 7.977 0.003 -1.468 -0.002 6.684" Properties=species:S:1:pos:R:3 pbc="T T T"
Cd 0.943 3.988 1.004
Cd 4.355 3.985 4.635
Zn 0.901 -0.002 4.459
Zn 4.397 7.975 1.180
Nd -0.731 5.756 3.345
Nd 0.000 0.000 0.000
Nd 2.648 1.930 2.819
Nd 3.382 2.219 -0.523
Nd 2.650 6.043 2.820
Nd 6.030 2.216 2.294
Nd 1.916 5.754 6.162
```

* DFT formation energy: -2 meV per atom
* total magnetization: 0.0 μB/cell
* uncorrected energy: -37.771 eV/f.u.

[2]
NdZn2Cd2: optimized geometry, GGA-PBE.

extended XYZ file:
```
5
Lattice="4.357 0.000 0.000 0.000 4.357 0.000 -2.179 -2.179 5.801" Properties=species:S:1:pos:R:3 pbc="T T T"
Zn 0.000 0.000 4.587
Zn 2.179 2.179 1.215
Cd 0.000 2.179 2.901
Cd 2.179 0.000 2.901
Nd 0.000 0.000 0.000
```

* DFT formation energy: -273 meV per atom
* total magnetization: 0.0 μB/cell
* uncorrected energy: -10.513 eV/f.u.

[3]
Nd2Zn9Cd: optimized geometry, GGA-PBE.

extended XYZ file:
```
12
Lattice="-2.589 -4.599 -1.930 0.459 -1.418 -5.419 6.161 -6.626 -0.659" Properties=species:S:1:pos:R:3 pbc="T T T"
Zn 5.423 -8.613 -3.116
Zn 3.408 -8.513 -4.787
Zn 3.175 -7.796 -2.046
Zn -0.686 -6.456 -4.198
Zn 0.623 -4.130 -3.221
Zn 4.717 -6.187 -3.810
Zn 0.856 -4.847 -5.962
Zn 2.016 -6.322 -4.004
Zn -1.392 -4.030 -4.892
Nd 0.748 -7.952 -6.599
Nd 3.283 -4.691 -1.409
Cd 0.000 0.000 0.000
```

* DFT formation energy: -119 meV per atom
* total magnetization: 0.0 μB/cell
* uncorrected energy: -23.346 eV/f.u.

[4]
NdZn4Cd: optimized geometry, GGA-PBE.

extended XYZ file:
```
12
Lattice="-3.429 0.868 2.443 -3.973 -1.311 -5.112 1.351 -8.478 1.125" Properties=species:S:1:pos:R:3 pbc="T T T"
Zn -3.031 -2.107 -3.506
Zn -3.021 -6.815 1.962
Zn -5.569 -3.305 -2.862
Zn -4.046 -2.802 -0.902
Zn -0.482 -5.617 1.319
Zn -1.715 0.434 1.221
Zn -3.701 -0.222 -1.334
Zn -2.006 -6.120 -0.642
Cd -2.901 -4.168 1.190
Cd -3.150 -4.755 -2.734
Nd -1.075 -2.131 -0.752
Nd -4.976 -6.791 -0.792
```

* DFT formation energy: -191 meV per atom
* total magnetization: 0.0 μB/cell
* uncorrected energy: -11.923 eV/f.u.

DFT formation energy of number 4 (NdZn4Cd)?
-191 meV per atom

Among the records above, which one has the lowest DFT formation energy?
NdZn2Cd2

Copy entry 4 word for word.
NdZn4Cd: optimized geometry, GGA-PBE.

extended XYZ file:
```
12
Lattice="-3.429 0.868 2.443 -3.973 -1.311 -5.112 1.351 -8.478 1.125" Properties=species:S:1:pos:R:3 pbc="T T T"
Zn -3.031 -2.107 -3.506
Zn -3.021 -6.815 1.962
Zn -5.569 -3.305 -2.862
Zn -4.046 -2.802 -0.902
Zn -0.482 -5.617 1.319
Zn -1.715 0.434 1.221
Zn -3.701 -0.222 -1.334
Zn -2.006 -6.120 -0.642
Cd -2.901 -4.168 1.190
Cd -3.150 -4.755 -2.734
Nd -1.075 -2.131 -0.752
Nd -4.976 -6.791 -0.792
```

* DFT formation energy: -191 meV per atom
* total magnetization: 0.0 μB/cell
* uncorrected energy: -11.923 eV/f.u.